The following is a DFT calculation (PBE-GGA) of crystalline PmTl2Te at its relaxed geometry.

Structure (POSCAR):
```
PmTl2Te
1.0
-0.763 4.685 1.918
-3.550 0.692 -3.100
-3.096 -1.792 3.145
Tl Te Pm
2 1 1
Cartesian
-1.548 -0.896 1.573
-1.775 0.346 -1.550
-3.704 1.792 0.982
-0.381 2.342 0.959
```

Computed properties:
Formation energy (no corrections) ... -0.485 eV per atom
Crystal system ... tetragonal
Total energy ... -14.6 eV per formula unit
Symmetry ... P4/mmm (123)



The following is a DFT calculation (PBE-GGA) of crystalline Pu2CrFeGe6 at its relaxed geometry.

Structure (POSCAR):
```
Pu2CrFeGe6
1.0
-5.280 1.398 -2.670
-1.706 -2.898 -5.065
-7.668 -8.494 3.794
Pu Cr Fe Ge
4 2 2 12
Cartesian
-8.856 -4.301 -5.502
-5.797 -5.693 1.561
-11.684 -8.534 -2.127
-2.969 -1.459 -1.813
0.000 0.000 0.000
-7.327 -4.997 -1.970
-6.156 -3.244 -3.368
-8.498 -6.750 -0.573
-8.428 -2.962 -2.763
-6.344 -5.468 -4.160
-5.349 -3.778 -1.206
-6.225 -7.031 -1.177
-8.309 -4.526 0.219
-9.304 -6.216 -2.735
-10.639 -7.158 0.382
-9.056 -9.061 -0.679
-8.300 -7.777 1.565
-4.014 -2.836 -4.322
-5.598 -0.933 -3.261
-6.353 -2.216 -5.505
```

Computed properties:
Crystal system ... trigonal
DFT formation energy ... -2.05 eV/f.u.
Total energy ... -76.5 eV per formula unit
Symmetry ... R-3m (166)



The following is a DFT calculation (PBE-GGA) of crystalline BaCdRhPb2 at its relaxed geometry.

Structure (POSCAR):
```
BaCdRhPb2
1.0
-2.951 1.240 4.290
3.987 -1.584 3.201
1.995 4.921 -0.050
Pb Rh Ba Cd
2 1 1 1
Cartesian
1.994 -0.792 1.600
-1.475 0.620 2.145
0.000 0.000 0.000
1.516 2.289 3.720
0.997 2.460 -0.025
```

Computed properties:
Crystal system ... tetragonal
DFT formation energy ... -1.11 eV/f.u.
Total energy ... -18.7 eV per formula unit
Symmetry ... P4/mmm (123)



The following is a DFT calculation (PBE-GGA) of crystalline La2Tc at its relaxed geometry.

Structure (POSCAR):
```
La2Tc
1.0
-1.843 -0.003 5.844
1.464 4.679 3.677
-4.335 3.917 1.848
La Tc
4 2
Cartesian
-2.947 5.370 7.106
-2.025 5.372 4.184
-3.679 3.031 5.267
-0.779 3.412 6.182
0.000 0.000 0.000
-1.179 2.148 2.842
```

Computed properties:
Crystal system ... cubic
DFT formation energy ... 3.54 eV/f.u.
Total energy ... -16.7 eV per formula unit
Symmetry ... Fd-3m (227)



| no. | size of the total moment (μB per atom) |
| --- | --- |
| 1 | 0.000 |
| 2 | 1.307 |
| 3 | 0.000 |
| 4 | 0.422 |